Record 1
Computed, not measured: a geometry-optimized YScCuAg structure at the GGA-PBE level of DFT. Values from VASP.

Computed properties:
Its calculated total energy is -0.1913 hartree per atom. The calculation puts the energy above the lowest structure with this stoichiometry at 0.000 eV/atom. Its density of states at the Fermi level is 2.858 states/eV/f.u. The magnetic moment is 0.00 Bohr magnetons per cell.

Structure (Quantum ESPRESSO input):
```
&SYSTEM
  ibrav = 0, nat = 4, ntyp = 4
/
ATOMIC_SPECIES
Y 88.91 Y.upf
Sc 44.96 Sc.upf
Cu 63.55 Cu.upf
Ag 107.87 Ag.upf
CELL_PARAMETERS angstrom
3.436 0.000 0.000
0.000 3.436 0.000
0.000 0.000 7.007
ATOMIC_POSITIONS crystal
Y 0.000 0.000 0.000
Sc 0.000 0.000 0.472
Cu 0.500 0.500 0.265
Ag 0.500 0.500 0.711
```

---

Record 2
Computed, not measured: a geometry-optimized Sm4CdIn2Ga structure at the GGA-PBE level of DFT. Values from VASP.

Computed properties:
Its calculated total energy is -0.1472 hartree per atom. Its density of states at the Fermi level is 6.642 states/eV/f.u. The magnetic moment is 0.00 Bohr magnetons per cell.

Structure (Quantum ESPRESSO input):
```
&SYSTEM
  ibrav = 0, nat = 8, ntyp = 4
/
ATOMIC_SPECIES
Sm 150.36 Sm.upf
Cd 112.41 Cd.upf
In 114.82 In.upf
Ga 69.72 Ga.upf
CELL_PARAMETERS angstrom
2.682 1.548 8.715
-2.682 1.548 8.715
0.000 -3.097 8.715
ATOMIC_POSITIONS crystal
Sm 0.120 0.120 0.120
Sm 0.371 0.371 0.371
Sm 0.629 0.629 0.629
Sm 0.880 0.880 0.880
Cd 0.500 0.500 0.500
In 0.245 0.245 0.245
In 0.755 0.755 0.755
Ga 0.000 0.000 0.000
```

---

Record 3
Computed, not measured: a geometry-optimized LaScAl structure at the GGA-PBE level of DFT. Values from VASP.

Computed properties:
Its calculated total energy is -0.1914 hartree per atom. The calculation puts the energy above the lowest structure with this stoichiometry at 0.029 eV/atom. Its density of states at the Fermi level is 3.178 states/eV/f.u. The magnetic moment is 1.32 Bohr magnetons per cell.

Structure (Quantum ESPRESSO input):
```
&SYSTEM
  ibrav = 0, nat = 6, ntyp = 3
/
ATOMIC_SPECIES
La 138.91 La.upf
Sc 44.96 Sc.upf
Al 26.98 Al.upf
CELL_PARAMETERS angstrom
-1.740 1.740 13.181
1.740 -1.740 13.181
1.740 1.740 -13.181
ATOMIC_POSITIONS crystal
La 0.072 0.072 0.000
La 0.928 0.928 0.000
Sc 0.212 0.212 0.000
Sc 0.788 0.788 0.000
Al 0.349 0.349 0.000
Al 0.651 0.651 0.000
```

---

Record 4
Computed, not measured: a geometry-optimized Cu12As4S13 structure at the GGA-PBE level of DFT. Values from VASP.

Computed properties:
Its calculated total energy is -0.1617 hartree per atom. Its density of states at the Fermi level is 24.591 states/eV/f.u. Its formation energy from raw total energies is -0.2122 eV per atom. The magnetic moment is 0.00 Bohr magnetons per cell.

Structure (Quantum ESPRESSO input):
```
&SYSTEM
  ibrav = 0, nat = 29, ntyp = 3
/
ATOMIC_SPECIES
Cu 63.55 Cu.upf
As 74.92 As.upf
S 32.06 S.upf
CELL_PARAMETERS angstrom
8.793 0.000 0.000
-2.897 8.315 0.000
-2.921 -4.107 7.291
ATOMIC_POSITIONS crystal
Cu 0.000 0.000 0.000
Cu 0.001 0.752 0.251
Cu 0.020 0.272 0.747
Cu 0.036 0.493 0.512
Cu 0.238 0.290 0.513
Cu 0.314 0.753 0.002
Cu 0.484 0.738 0.791
Cu 0.494 0.558 0.996
Cu 0.496 0.003 0.502
Cu 0.498 0.254 0.251
Cu 0.747 0.253 0.000
Cu 0.749 0.750 0.502
As 0.247 0.026 0.750
As 0.248 0.502 0.276
As 0.717 0.972 0.222
As 0.772 0.501 0.749
S 0.007 0.020 0.267
S 0.008 0.261 0.990
S 0.010 0.738 0.509
S 0.240 0.495 0.748
S 0.253 0.746 0.231
S 0.254 0.982 0.993
S 0.484 0.263 0.509
S 0.492 0.507 0.231
S 0.492 0.982 0.753
S 0.729 0.507 0.993
S 0.729 0.745 0.753
S 0.766 0.020 0.510
S 0.767 0.262 0.267
```

---

Q: Which of these has the highest magnetic moment?
A: LaScAl

---

Q: The lowest calculated total energy belongs to which entry?
A: LaScAl

---

Q: Which of these has the lowest calculated total energy?
A: LaScAl